No. 1
A plane-wave DFT calculation with PBE was carried out for a relaxed Tb8TlRu2 crystal.

Values from the calculation:
* energy relative to the elements: -0.208 eV per atom
* N(E_F): 10.28 states/eV/cell
* space group: Imm2

Unit cell a=5.3327 b=6.9194 c=9.1707 alpha=112.16 beta=106.90 gamma=89.99
Closest atoms and distances in Å follow each position.
Fractional coordinates of all 11 atoms:
Tb1 0.9239 0.4312 0.4838  3 Ru 2.81-3.05
Tb2 0.6363 0.2873 0.9089  2 Ru 3.01, 2 Tb 3.23
Tb3 0.5286 0.7031 0.6935  1 Ru 2.70
Tb4 0.9672 0.0136 0.5711  3 Ru 3.01-3.25, 1 Tl 3.05, 3 Tb 3.27-3.29
Tb5 0.3490 0.8563 0.3345  3 Ru 2.81-3.05
Tb6 0.7442 0.9189 0.1249  1 Ru 2.70
Tb7 0.1364 0.5507 0.9092  1 Tl 3.01, 2 Tb 3.23
Tb8 0.3054 0.3512 0.2469  3 Ru 3.01-3.25, 1 Tl 3.05, 3 Tb 3.27-3.29
Ru1 0.4631 0.2778 0.5627  4 Tb 2.70-3.01
Ru2 0.8096 0.6241 0.2553  4 Tb 2.70-3.01
Tl1 0.1363 0.9858 0.9091  3 Tb 3.01-3.05

No. 2
A plane-wave DFT calculation with PBE was carried out for a relaxed Mg2CoSe crystal.

Values from the calculation:
* formation energy (no corrections): -0.2 eV/f.u.
* N(E_F): 3.04 states/eV/cell
* space group: R3m

Unit cell a=8.3760 b=8.3760 c=8.3760 alpha=22.75 beta=22.75 gamma=22.75
Closest atoms and distances in Å follow each position.
Fractional coordinates of all 4 atoms:
Se1 0.4812 0.4812 0.4812  3 Co 2.29
Co1 0.7629 0.7629 0.7629  3 Se 2.29
Mg1 0.2413 0.2413 0.2413  3 Se 2.98, 9 Mg 3.23-3.30
Mg2 0.0146 0.0146 0.0146  3 Co 2.76

In Å³ per cell, the calculated volume values for the records above are, in order, 297.6; 77.1.